# 1
Density functional theory data (PBE) for an optimized crystal structure of Tb2AgSe. Values from VASP.

Summary:
DOS(E_F) ... 2.378 states/eV/cell
Polymorph energy (0 for the lowest one) ... 2.334 eV/f.u.
Theoretical density ... 7.2 g/cm3
Uncorrected formation energy ... -1.82 eV per formula unit
Crystal system ... trigonal

Structure (Quantum ESPRESSO input):
```
&SYSTEM
  ibrav = 0, nat = 4, ntyp = 3
/
ATOMIC_SPECIES
Se 78.96 Se.upf
Ag 107.87 Ag.upf
Tb 158.93 Tb.upf
CELL_PARAMETERS angstrom
-1.235 2.417 -2.582
-2.355 -1.157 -2.674
-8.630 2.608 3.849
ATOMIC_POSITIONS crystal
Se 0.500 0.500 0.500
Ag 0.000 0.000 0.000
Tb 0.897 0.897 0.310
Tb 0.103 0.103 0.690
```

# 2
Density functional theory data (PBE) for an optimized crystal structure of SrTePb2. Values from VASP.

Summary:
DOS(E_F) ... 2.933 states/eV/cell
Theoretical density ... 8.1 g/cm3
Uncorrected formation energy ... -1.94 eV per formula unit
Crystal system ... orthorhombic

Structure (Quantum ESPRESSO input):
```
&SYSTEM
  ibrav = 0, nat = 4, ntyp = 3
/
ATOMIC_SPECIES
Pb 207.20 Pb.upf
Sr 87.62 Sr.upf
Te 127.60 Te.upf
CELL_PARAMETERS angstrom
-4.440 1.124 3.913
-5.058 -0.884 -3.149
4.740 -3.666 0.618
ATOMIC_POSITIONS crystal
Pb 0.000 0.000 0.000
Sr 0.500 0.500 0.000
Pb 0.750 0.250 0.500
Te 0.250 0.750 0.500
```

# 3
Density functional theory data (PBE) for an optimized crystal structure of NaPr2Cl6. Values from VASP.

Summary:
DOS(E_F) ... 2.446 states/eV/cell
Polymorph energy (0 for the lowest one) ... 0.000 eV/f.u.
Theoretical density ... 3.9 g/cm3
Uncorrected formation energy ... -18.44 eV per formula unit
Crystal system ... trigonal

Structure (Quantum ESPRESSO input):
```
&SYSTEM
  ibrav = 0, nat = 9, ntyp = 3
/
ATOMIC_SPECIES
Na 22.99 Na.upf
Cl 35.45 Cl.upf
Pr 140.91 Pr.upf
CELL_PARAMETERS angstrom
-1.637 -2.732 -7.351
-3.452 -3.379 6.390
-3.007 2.548 -0.277
ATOMIC_POSITIONS crystal
Na 0.000 0.000 0.500
Cl 0.302 0.382 0.750
Pr 0.333 0.667 0.250
Cl 0.920 0.302 0.250
Pr 0.667 0.333 0.750
Cl 0.080 0.698 0.750
Cl 0.698 0.618 0.250
Cl 0.382 0.080 0.250
Cl 0.618 0.920 0.750
```

# 4
Density functional theory data (PBE) for an optimized crystal structure of Dy3TlIn2. Values from VASP.

Summary:
ΔE_f ... -425 meV per atom
DOS(E_F) ... 3.619 states/eV/cell
Theoretical density ... 9.5 g/cm3
Crystal system ... tetragonal

Structure (Quantum ESPRESSO input):
```
&SYSTEM
  ibrav = 0, nat = 6, ntyp = 3
/
ATOMIC_SPECIES
Dy 162.50 Dy.upf
In 114.82 In.upf
Tl 204.38 Tl.upf
CELL_PARAMETERS angstrom
3.678 0.000 0.000
0.000 3.678 0.000
0.000 0.000 11.907
ATOMIC_POSITIONS crystal
Dy 0.000 0.000 0.330
Dy 0.000 0.000 0.000
Dy 0.000 0.000 0.670
In 0.500 0.500 0.166
In 0.500 0.500 0.834
Tl 0.500 0.500 0.500
```

# 5
Density functional theory data (PBE) for an optimized crystal structure of BaSrNbInO6. Values from VASP.

Summary:
DOS(E_F) ... 0.000 states/eV/cell
Theoretical density ... 6.0 g/cm3
Uncorrected formation energy ... -25.31 eV per formula unit
Crystal system ... cubic

Structure (Quantum ESPRESSO input):
```
&SYSTEM
  ibrav = 0, nat = 10, ntyp = 5
/
ATOMIC_SPECIES
In 114.82 In.upf
O 16.00 O.upf
Sr 87.62 Sr.upf
Nb 92.91 Nb.upf
Ba 137.33 Ba.upf
CELL_PARAMETERS angstrom
1.644 1.151 5.555
-2.307 -3.102 4.466
3.350 -3.869 2.950
ATOMIC_POSITIONS crystal
In 0.000 0.000 0.000
O 0.741 0.259 0.259
Sr 0.250 0.250 0.250
O 0.741 0.741 0.259
Nb 0.500 0.500 0.500
O 0.259 0.741 0.259
O 0.259 0.741 0.741
O 0.259 0.259 0.741
O 0.741 0.259 0.741
Ba 0.750 0.750 0.750
```

# 6
Density functional theory data (PBE) for an optimized crystal structure of VCdHg2. Values from VASP.

Summary:
ΔE_f ... 476 meV per atom
DOS(E_F) ... 8.353 states/eV/cell
Theoretical density ... 10.1 g/cm3
Crystal system ... tetragonal

Structure (Quantum ESPRESSO input):
```
&SYSTEM
  ibrav = 0, nat = 8, ntyp = 3
/
ATOMIC_SPECIES
Cd 112.41 Cd.upf
Hg 200.59 Hg.upf
V 50.94 V.upf
CELL_PARAMETERS angstrom
-0.575 -1.950 -3.769
1.785 -3.562 1.571
-8.510 -5.976 1.958
ATOMIC_POSITIONS crystal
Cd 0.000 0.000 0.000
Hg 0.375 0.387 0.750
Hg 0.137 0.625 0.250
Hg 0.613 0.125 0.250
V 0.250 0.750 0.500
V 0.500 0.500 0.000
Hg 0.875 0.863 0.750
Cd 0.750 0.250 0.500
```

Calculated values (hartree per atom) of E_tot for the records, taken in order: -0.1600, -0.1302, -0.1649, -0.1482, -0.2626, -0.0803.